DFT (PBE with a Hubbard U) results for an optimized crystal structure of DyMn2WO8.

Calculated values
E_tot: -88.69 eV for the cell shown
space-group type: No. 119
size of the total moment: 7.0 μB/f.u.

a b c (Å): 5.8012 5.8012 5.8012
angles (deg): 108.53 108.53 111.36
With the nearest neighbours (Å) after each atom.
Sites, in units of the cell vectors:
Dy  0.0000  0.0000  0.0000  8 O 2.25-2.45
Mn  0.5000  0.5000  0.0000  4 O 1.92
Mn  0.7500  0.2500  0.5000  4 O 1.80
W  0.2500  0.7500  0.5000  8 O 1.99-2.20
O  0.3040  0.0933  0.7894  1 Mn 1.92, 1 W 1.99
O  0.3040  0.5146  0.2106  1 Mn 1.92, 1 W 1.99
O  0.3682  0.0376  0.3306  1 Mn 1.80
O  0.4854  0.6960  0.7894  1 Mn 1.92, 1 W 1.99
O  0.7070  0.0376  0.6694  1 Mn 1.80
O  0.9067  0.6960  0.2106  1 Mn 1.92, 1 W 1.99
O  0.9624  0.2930  0.3306  1 Mn 1.80
O  0.9624  0.6318  0.6694  1 Mn 1.80